# 1
VASP calculation (PBE) on a geometry-optimized Er2ZnCu4Si3 structure.

Its total moment is 0.00 μB/cell. The density of states at the Fermi level comes out at 3.801 states/eV/cell.

It has space group P-4m2 (No. 115), with a = 3.977 Å, b = 3.977 Å, c = 10.025 Å, α = 90.00°, β = 90.00° and γ = 90.00°. Symmetry generates all atoms from Er at (0.000, 0.500, 0.243), Zn at (0.000, 0.000, 0.500), Cu at (0.000, 0.000, 0.000), Cu at (0.000, 0.500, 0.638), Cu at (0.500, 0.500, 0.000), Si at (0.000, 0.500, 0.867) and Si at (0.500, 0.500, 0.500).

# 2
VASP calculation (PBE) on a geometry-optimized CaTmSbPd structure.

Its total moment is 0.00 μB/cell. The density of states at the Fermi level comes out at 4.949 states/eV/cell.

It has space group F-43m (No. 216), with a = 7.266 Å, b = 7.266 Å, c = 7.266 Å, α = 90.00°, β = 90.00° and γ = 90.00°. Symmetry generates all atoms from Ca at (0.000, 0.000, 0.000), Tm at (0.000, 0.000, 0.500), Sb at (0.250, 0.250, 0.250) and Pd at (0.250, 0.250, 0.750).

Number 1: uncorrected energy -48.0 eV for the cell shown, formation energy without anion corrections -0.497 eV per atom. Number 2: uncorrected energy -76.0 eV for the cell shown, formation energy without anion corrections -0.800 eV per atom.